A plane-wave DFT calculation with PBE with a Hubbard U was carried out for a geometry-optimized BaNiTeO4 structure.

- energy (hartree per atom) = -0.195

Structure (CIF):
```
data_BaNiTeO4
_chemical_formula_sum 'Ba2 Ni2 Te2 O8'
_symmetry_space_group_name_H-M 'P 1 21/m 1'
_symmetry_Int_Tables_number 11
_cell_length_a 4.974
_cell_length_b 5.556
_cell_length_c 10.150
_cell_angle_alpha 90.00
_cell_angle_beta 103.61
_cell_angle_gamma 90.00
loop_
_symmetry_equiv_pos_as_xyz
'x,y,z'
'-x,-y,-z'
'-x,y+1/2,-z'
'x,-y+1/2,z'
loop_
_atom_site_label
_atom_site_type_symbol
_atom_site_fract_x
_atom_site_fract_y
_atom_site_fract_z
Ba1 Ba 0.187 0.250 0.364
Ni1 Ni 0.079 0.750 0.072
Te1 Te 0.338 0.250 0.743
O1 O 0.052 0.750 0.258
O2 O 0.089 0.250 0.102
O3 O 0.321 0.502 0.621
```